Entry 1:
## Cu4Bi5PbS11 (PBEsol)

Data for crystalline Cu4Bi5PbS11 at its relaxed geometry.

Structure (extended XYZ):
```
42
Lattice="8.6392 -1.9306 0.0000 8.6392 1.9306 0.0000 -1.2560 0.0000 26.9280" Properties=species:S:1:pos:R:3 pbc="T T T"
Cu -0.2252 0.0000 7.2953
Cu 0.8076 0.0000 24.9213
Cu 3.0670 0.0000 7.6033
Cu 4.5093 0.0000 12.8245
Cu 11.5131 0.0000 14.1035
Cu 12.9555 0.0000 19.3247
Cu 15.2149 0.0000 2.0066
Cu 16.2477 0.0000 19.6327
Bi 1.2644 0.0000 17.3983
Bi 3.1247 0.0000 1.4632
Bi 5.3235 0.0000 5.5460
Bi 5.5603 0.0000 16.1672
Bi 6.7493 0.0000 22.7067
Bi 9.2731 0.0000 4.2213
Bi 10.4622 0.0000 10.7608
Bi 10.6990 0.0000 21.3820
Bi 12.8978 0.0000 25.4648
Bi 14.7581 0.0000 9.5297
Pb -0.6280 0.0000 13.4640
Pb 8.6392 0.0000 0.0000
S 0.4316 0.0000 2.0320
S 0.6377 0.0000 22.6876
S 1.2885 0.0000 9.0004
S 1.5509 0.0000 5.8279
S 2.1604 0.0000 13.0956
S 3.1209 0.0000 19.3977
S 4.5366 0.0000 10.5794
S 4.1355 0.0000 23.5793
S 5.9107 0.0000 0.9094
S 7.2241 0.0000 7.3631
S 7.9055 0.0000 11.3169
S 8.1170 0.0000 15.6110
S 8.7984 0.0000 19.5649
S 10.1118 0.0000 26.0186
S 11.8869 0.0000 3.3487
S 11.4859 0.0000 16.3485
S 12.9015 0.0000 7.5303
S 13.8621 0.0000 13.8324
S 14.4716 0.0000 21.1001
S 14.7340 0.0000 17.9276
S 15.3848 0.0000 4.2405
S 15.5909 0.0000 24.8960
```

Computed properties:
DOS(E_F) ... 7.49 states/eV/f.u.
Total DFT energy (no corrections) ... -4.66 eV/atom

Entry 2:
## FeTcAs2P (PBEsol)

Data for crystalline FeTcAs2P at its relaxed geometry.

Structure (extended XYZ):
```
5
Lattice="4.5314 0.0000 0.0000 0.0000 4.5314 0.0000 0.0000 0.0000 4.0777" Properties=species:S:1:pos:R:3 pbc="T T T"
Fe 0.0000 0.0000 0.0000
Tc 2.2657 2.2657 2.0389
As 0.0000 2.2657 0.0000
As 2.2657 0.0000 0.0000
P 0.0000 0.0000 2.0389
```

Computed properties:
DOS(E_F) ... 4.30 states/eV/f.u.
Total DFT energy (no corrections) ... -6.42 eV/atom
Formation energy ... 0.83 eV/atom

Entry 3:
## Ti3HIr (PBEsol)

Data for crystalline Ti3HIr at its relaxed geometry.

Structure (extended XYZ):
```
5
Lattice="4.7357 0.0000 0.0000 0.0000 4.7357 0.0000 0.0000 0.0000 4.7357" Properties=species:S:1:pos:R:3 pbc="T T T"
Ti 0.0000 0.0000 2.3678
Ti 0.0000 2.3678 0.0000
Ti 2.3678 0.0000 0.0000
H 2.3678 2.3678 2.3678
Ir 0.0000 0.0000 0.0000
```

Computed properties:
Polymorph energy (0 for the lowest one) ... 675 kJ/mol of formula units
DOS(E_F) ... 5.78 states/eV/f.u.
Total DFT energy (no corrections) ... -6.68 eV/atom

Entry 4:
## Ca2ScCr (PBEsol)

Data for crystalline Ca2ScCr at its relaxed geometry.

Structure (extended XYZ):
```
4
Lattice="-2.3148 2.3148 5.0626 2.3148 -2.3148 5.0626 2.3148 2.3148 -5.0626" Properties=species:S:1:pos:R:3 pbc="T T T"
Ca 2.3148 0.0000 2.5313
Ca 0.0000 2.3148 2.5313
Sc 0.0000 0.0000 0.0000
Cr 0.0000 0.0000 5.0626
```

Computed properties:
Polymorph energy (0 for the lowest one) ... 90 kJ/mol of formula units
DOS(E_F) ... 5.39 states/eV/f.u.
Total DFT energy (no corrections) ... -4.68 eV/atom
Formation energy ... 0.60 eV/atom

Entry 5:
## Tl2SbPb (PBEsol)

Data for crystalline Tl2SbPb at its relaxed geometry.

Structure (extended XYZ):
```
4
Lattice="3.2744 0.0000 0.0000 0.0000 5.2473 0.0000 -0.0529 0.0000 6.6214" Properties=species:S:1:pos:R:3 pbc="T T T"
Tl 0.0968 0.0000 1.6828
Tl 3.1246 0.0000 4.9385
Sb 1.6107 2.6236 3.3107
Pb 1.6372 2.6236 0.0000
```

Computed properties:
Polymorph energy (0 for the lowest one) ... 8 kJ/mol of formula units
DOS(E_F) ... 2.04 states/eV/f.u.
Total DFT energy (no corrections) ... -3.43 eV/atom

Entry 6:
## TaIrBr2 (PBEsol)

Data for crystalline TaIrBr2 at its relaxed geometry.

Structure (extended XYZ):
```
4
Lattice="-1.6348 2.8816 4.8439 1.6348 -2.8816 4.8439 1.6348 2.8816 -4.8439" Properties=species:S:1:pos:R:3 pbc="T T T"
Ta 0.0000 0.0000 0.0000
Ir 1.6348 0.0000 1.6988
Br 0.0000 0.0000 4.2808
Br 0.0000 2.8816 2.6516
```

Computed properties:
Polymorph energy (0 for the lowest one) ... 283 kJ/mol of formula units
DOS(E_F) ... 1.58 states/eV/f.u.
Total DFT energy (no corrections) ... -6.20 eV/atom

Entry 7:
## ZnTe2 (PBEsol)

Data for crystalline ZnTe2 at its relaxed geometry.

Structure (extended XYZ):
```
3
Lattice="1.9864 1.1469 5.6212 -1.9864 1.1469 5.6212 0.0000 -2.2938 5.6212" Properties=species:S:1:pos:R:3 pbc="T T T"
Zn 0.0000 0.0000 0.0000
Te 0.0000 0.0000 4.0437
Te 0.0000 0.0000 7.2603
```

Computed properties:
DOS(E_F) ... 1.68 states/eV/f.u.
Total DFT energy (no corrections) ... -2.89 eV/atom

Entry 8:
## PrCo4B4 (PBEsol)

Data for crystalline PrCo4B4 at its relaxed geometry.

Structure (extended XYZ):
```
18
Lattice="6.9984 0.0000 0.0000 0.0000 6.9984 0.0000 0.0000 0.0000 3.7627" Properties=species:S:1:pos:R:3 pbc="T T T"
Pr 1.7496 1.7496 0.9407
Pr 5.2488 5.2488 2.8220
Co 0.7632 4.4370 0.5452
Co 0.9377 6.2353 2.4265
Co 2.5615 4.2624 2.4265
Co 2.7360 6.0607 0.5452
Co 4.2624 0.9377 3.2175
Co 4.4370 2.7360 1.3362
Co 6.0607 0.7632 1.3362
Co 6.2353 2.5615 3.2175
B 0.3348 6.3786 0.5559
B 0.6198 3.8340 2.4372
B 2.8794 6.6636 2.4372
B 3.1644 4.1191 0.5559
B 3.8340 2.8794 3.2068
B 4.1191 0.3348 1.3255
B 6.3786 3.1644 1.3255
B 6.6636 0.6198 3.2068
```

Computed properties:
DOS(E_F) ... 4.31 states/eV/f.u.
Total DFT energy (no corrections) ... -7.64 eV/atom
Formation energy ... -0.51 eV/atom

Entry 9:
## CaNiPt2 (PBEsol)

Data for crystalline CaNiPt2 at its relaxed geometry.

Structure (extended XYZ):
```
4
Lattice="-1.9899 1.9899 3.9978 1.9899 -1.9899 3.9978 1.9899 1.9899 -3.9978" Properties=species:S:1:pos:R:3 pbc="T T T"
Ca 0.0000 0.0000 0.0000
Ni 0.0000 0.0000 3.9978
Pt 1.9899 0.0000 1.9989
Pt 0.0000 1.9899 1.9989
```

Computed properties:
DOS(E_F) ... 4.38 states/eV/f.u.
Total DFT energy (no corrections) ... -5.81 eV/atom
Formation energy ... -0.25 eV/atom

Entry 10:
## NiWSN2 (PBEsol)

Data for crystalline NiWSN2 at its relaxed geometry.

Structure (extended XYZ):
```
5
Lattice="3.8108 0.0000 0.0000 0.0000 3.8108 0.0000 0.0000 0.0000 4.9517" Properties=species:S:1:pos:R:3 pbc="T T T"
Ni 0.0000 0.0000 0.0000
W 1.9054 1.9054 2.4758
S 1.9054 1.9054 0.0000
N 0.0000 1.9054 2.4758
N 1.9054 0.0000 2.4758
```

Computed properties:
DOS(E_F) ... 3.78 states/eV/f.u.
Total DFT energy (no corrections) ... -7.73 eV/atom

Entry 11:
## CrBr4 (PBEsol)

Data for crystalline CrBr4 at its relaxed geometry.

Structure (extended XYZ):
```
5
Lattice="-3.1728 3.1728 3.1728 3.1728 -3.1728 3.1728 3.1728 3.1728 -3.1728" Properties=species:S:1:pos:R:3 pbc="T T T"
Cr 0.0000 0.0000 0.0000
Br 1.5864 1.5864 -1.5864
Br 1.5864 -1.5864 1.5864
Br -1.5864 1.5864 1.5864
Br 1.5864 1.5864 1.5864
```

Computed properties:
DOS(E_F) ... 4.28 states/eV/f.u.
Total DFT energy (no corrections) ... -3.51 eV/atom

Entry 12:
## Sc4FeAg (PBEsol)

Data for crystalline Sc4FeAg at its relaxed geometry.

Structure (extended XYZ):
```
6
Lattice="0.0000 3.9045 3.9045 3.9045 0.0000 3.9045 3.9045 3.9045 0.0000" Properties=species:S:1:pos:R:3 pbc="T T T"
Sc 0.9714 0.9714 0.9714
Sc 2.9331 2.9331 0.9714
Sc 2.9331 0.9714 2.9331
Sc 0.9714 2.9331 2.9331
Fe 5.8568 5.8568 5.8568
Ag 3.9045 3.9045 3.9045
```

Computed properties:
DOS(E_F) ... 8.77 states/eV/f.u.
Total DFT energy (no corrections) ... -5.87 eV/atom
Formation energy ... 0.58 eV/atom